[1]
Below is Y2MgPb at its PBEsol-relaxed geometry, with properties calculated at the meta-GGA SCAN level.

The structure belongs to space group Imm2 (No. 44); the cell edges are 4.165, 4.794 and 10.715 Å and the angles 90.00°, 90.00° and 90.00°. The asymmetric unit holds Y at (0.000, 0.000, 0.000), Y at (0.000, 0.500, 0.240), Mg at (0.000, 0.500, 0.767) and Pb at (0.000, 0.000, 0.481).

The energy of formation comes out at -0.4381 eV/atom. Its density of states at the Fermi level is 6.21 states/eV/cell. Its total magnetization is 0.0 μB/cell. Its crystal system is orthorhombic.


[2]
Below is YMgPb at its PBEsol-relaxed geometry, with properties calculated at the meta-GGA SCAN level.

The structure belongs to space group F-43m (No. 216); the cell edges are 6.900, 6.900 and 6.900 Å and the angles 90.00°, 90.00° and 90.00°. The asymmetric unit holds Y at (0.000, 0.000, 0.000), Mg at (0.250, 0.250, 0.250) and Pb at (0.000, 0.000, 0.500).

The energy of formation comes out at -0.1692 eV/atom. Its density of states at the Fermi level is 7.44 states/eV/cell. Its total magnetization is 0.0 μB/cell. Its crystal system is cubic.


[3]
Below is Y2MgPb at its PBEsol-relaxed geometry, with properties calculated at the meta-GGA SCAN level.

The structure belongs to space group Pmmm (No. 47); the cell edges are 3.571, 4.274 and 6.909 Å and the angles 90.00°, 90.00° and 90.00°. The asymmetric unit holds Y at (0.000, 0.000, 0.249), Mg at (0.500, 0.500, 0.500) and Pb at (0.500, 0.500, 0.000).

The energy of formation comes out at -0.4853 eV/atom. Its density of states at the Fermi level is 2.01 states/eV/cell. Its total magnetization is 0.0 μB/cell. Its crystal system is orthorhombic.


[4]
Below is YMgPb at its PBEsol-relaxed geometry, with properties calculated at the meta-GGA SCAN level.

The structure belongs to space group F-43m (No. 216); the cell edges are 7.145, 7.145 and 7.145 Å and the angles 90.00°, 90.00° and 90.00°. The asymmetric unit holds Y at (0.000, 0.000, 0.000), Mg at (0.250, 0.250, 0.750) and Pb at (0.250, 0.250, 0.250).

The energy of formation comes out at -0.1005 eV/atom. Its density of states at the Fermi level is 7.55 states/eV/cell. Its total magnetization is 0.0 μB/cell. Its crystal system is cubic.


[5]
Below is YMgPb at its PBEsol-relaxed geometry, with properties calculated at the meta-GGA SCAN level.

The structure belongs to space group P-6m2 (No. 187); the cell edges are 4.9032, 4.9032 and 3.6346 Å and the angles 90.00°, 90.00° and 120.00°. The asymmetric unit holds Y at (0.0000, 0.0000, 0.0000), Mg at (0.3333, 0.6667, 0.5000) and Pb at (0.6667, 0.3333, 0.5000).

The energy of formation comes out at -0.4973 eV/atom. Its density of states at the Fermi level is 1.31 states/eV/cell. Its total magnetization is 0.0 μB/cell. Its crystal system is hexagonal.


[6]
Below is MgZn3Pb at its PBEsol-relaxed geometry, with properties calculated at the meta-GGA SCAN level.

The structure belongs to space group Pm-3m (No. 221); the cell edges are 4.926, 4.926 and 4.926 Å and the angles 90.00°, 90.00° and 90.00°. The asymmetric unit holds Mg at (0.000, 0.000, 0.000), Zn at (0.000, 0.000, 0.500) and Pb at (0.500, 0.500, 0.500).

The energy of formation comes out at 0.6007 eV/atom. Its density of states at the Fermi level is 2.49 states/eV/cell. Its total magnetization is 0.0 μB/cell. Its crystal system is cubic.


[7]
Below is MgZnPb at its PBEsol-relaxed geometry, with properties calculated at the meta-GGA SCAN level.

The structure belongs to space group Fmm2 (No. 42); the cell edges are 4.695, 4.708 and 12.015 Å and the angles 90.00°, 90.00° and 90.00°. The asymmetric unit holds Mg at (0.000, 0.000, 0.000), Zn at (0.000, 0.000, 0.632) and Pb at (0.000, 0.000, 0.304).

The energy of formation comes out at 0.0316 eV/atom. Its density of states at the Fermi level is 4.40 states/eV/cell. Its total magnetization is 0.0 μB/cell. Its crystal system is orthorhombic.


[8]
Below is MgZrPb at its PBEsol-relaxed geometry, with properties calculated at the meta-GGA SCAN level.

The structure belongs to space group F-43m (No. 216); the cell edges are 6.764, 6.764 and 6.764 Å and the angles 90.00°, 90.00° and 90.00°. The asymmetric unit holds Mg at (0.000, 0.000, 0.000), Zr at (0.000, 0.000, 0.500) and Pb at (0.250, 0.250, 0.250).

The energy of formation comes out at 0.1120 eV/atom. Its density of states at the Fermi level is 7.85 states/eV/cell. Its total magnetization is 0.0 μB/cell. Its crystal system is cubic.


Repeat the eighth record exactly.
Below is MgZrPb at its PBEsol-relaxed geometry, with properties calculated at the meta-GGA SCAN level.

The structure belongs to space group F-43m (No. 216); the cell edges are 6.764, 6.764 and 6.764 Å and the angles 90.00°, 90.00° and 90.00°. The asymmetric unit holds Mg at (0.000, 0.000, 0.000), Zr at (0.000, 0.000, 0.500) and Pb at (0.250, 0.250, 0.250).

The energy of formation comes out at 0.1120 eV/atom. Its density of states at the Fermi level is 7.85 states/eV/cell. Its total magnetization is 0.0 μB/cell. Its crystal system is cubic.


- Look up the energy of formation of the sixth one.
  0.6007 eV/atom


Repeat the sixth record exactly.
Below is MgZn3Pb at its PBEsol-relaxed geometry, with properties calculated at the meta-GGA SCAN level.

The structure belongs to space group Pm-3m (No. 221); the cell edges are 4.926, 4.926 and 4.926 Å and the angles 90.00°, 90.00° and 90.00°. The asymmetric unit holds Mg at (0.000, 0.000, 0.000), Zn at (0.000, 0.000, 0.500) and Pb at (0.500, 0.500, 0.500).

The energy of formation comes out at 0.6007 eV/atom. Its density of states at the Fermi level is 2.49 states/eV/cell. Its total magnetization is 0.0 μB/cell. Its crystal system is cubic.